(1)
The following is a DFT calculation (PBE) of a relaxed SmDySi2Pd5 crystal. Values from VASP.

Values from the calculation:
The value obtained for the uncorrected formation energy is -0.916 eV per atom. For the volume, the calculation gives 159.0 Å³/cell. The total magnetization is 0.00 μB per atom. The total energy comes out at -6.04 eV per atom. As for the density of states at the Fermi level: 0.330 states/eV per atom. The space-group type is P4/mmm (123).

Quantum ESPRESSO input file:
```
&SYSTEM
  ibrav = 0, nat = 9, ntyp = 4
/
ATOMIC_SPECIES
Sm 150.36 Sm.upf
Dy 162.50 Dy.upf
Si 28.09 Si.upf
Pd 106.42 Pd.upf
ATOMIC_POSITIONS angstrom
Sm -3.2920 2.5689 1.6949
Dy 0.0000 0.0000 0.0000
Si -1.6973 -1.5677 2.2049
Si -6.5640 2.2301 4.7105
Pd -1.2410 0.7289 2.8362
Pd -3.0875 -0.2433 0.7234
Pd -4.3351 3.1434 4.4292
Pd -6.1816 2.1712 2.3164
Pd -4.1306 0.3312 3.4577
CELL_PARAMETERS angstrom
-2.6852 -3.2100 -0.3499
1.0078 -1.2655 3.8755
-6.5839 5.1379 3.3898
```

(2)
The following is a DFT calculation (PBE) of a relaxed TbDySiPd crystal. Values from VASP.

Values from the calculation:
The value obtained for the uncorrected formation energy is -0.721 eV per atom. For the volume, the calculation gives 87.8 Å³/cell. The total magnetization is 0.00 μB per atom. The total energy comes out at -5.68 eV per atom. As for the density of states at the Fermi level: 0.509 states/eV per atom. For the excess energy over the best structure of this formula in the dataset, the calculation gives 116 meV/atom. The space-group type is F-43m (216).

Quantum ESPRESSO input file:
```
&SYSTEM
  ibrav = 0, nat = 4, ntyp = 4
/
ATOMIC_SPECIES
Si 28.09 Si.upf
Tb 158.93 Tb.upf
Pd 106.42 Pd.upf
Dy 162.50 Dy.upf
ATOMIC_POSITIONS angstrom
Si -7.1177 -1.3367 5.6181
Tb 0.0000 0.0000 0.0000
Pd -2.3726 -0.4456 1.8727
Dy -4.7451 -0.8911 3.7454
CELL_PARAMETERS angstrom
-4.7591 -1.4740 0.2660
-1.6167 -2.5015 4.0026
-3.1144 2.1932 3.2222
```

(3)
The following is a DFT calculation (PBE) of a relaxed TbDySiPd crystal. Values from VASP.

Values from the calculation:
The value obtained for the uncorrected formation energy is -0.837 eV per atom. For the volume, the calculation gives 90.6 Å³/cell. The total magnetization is 0.00 μB per atom. The total energy comes out at -5.80 eV per atom. As for the density of states at the Fermi level: 0.586 states/eV per atom. For the excess energy over the best structure of this formula in the dataset, the calculation gives 0 meV/atom. The space-group type is Amm2 (38).

Quantum ESPRESSO input file:
```
&SYSTEM
  ibrav = 0, nat = 4, ntyp = 4
/
ATOMIC_SPECIES
Tb 158.93 Tb.upf
Dy 162.50 Dy.upf
Si 28.09 Si.upf
Pd 106.42 Pd.upf
ATOMIC_POSITIONS angstrom
Tb -2.1336 0.3307 4.3279
Dy 0.0034 0.7739 1.2836
Si -2.1404 -1.2332 1.7340
Pd 0.0103 2.3714 3.9334
CELL_PARAMETERS angstrom
-3.9552 0.2694 -0.1521
-0.3293 -3.6068 2.1754
1.9897 2.6554 4.7038
```

(4)
The following is a DFT calculation (PBE) of a relaxed DyTmSiPd crystal. Values from VASP.

Values from the calculation:
The value obtained for the uncorrected formation energy is -0.848 eV per atom. For the volume, the calculation gives 88.2 Å³/cell. The total magnetization is 0.00 μB per atom. The total energy comes out at -5.77 eV per atom. As for the density of states at the Fermi level: 0.583 states/eV per atom. For the excess energy over the best structure of this formula in the dataset, the calculation gives 0 meV/atom. The space-group type is Amm2 (38).

Quantum ESPRESSO input file:
```
&SYSTEM
  ibrav = 0, nat = 4, ntyp = 4
/
ATOMIC_SPECIES
Dy 162.50 Dy.upf
Tm 168.93 Tm.upf
Si 28.09 Si.upf
Pd 106.42 Pd.upf
ATOMIC_POSITIONS angstrom
Dy -1.0465 -3.9445 2.4989
Tm 0.5831 -1.2595 0.5317
Si -2.2163 -1.4178 1.4323
Pd 1.7862 -3.8580 1.6287
CELL_PARAMETERS angstrom
-1.6530 0.7010 3.4735
-3.4421 -2.1057 -1.2131
2.9273 -4.8881 0.1788
```

(5)
The following is a DFT calculation (PBE) of a relaxed DyTmSiPd crystal. Values from VASP.

Values from the calculation:
The value obtained for the uncorrected formation energy is -0.740 eV per atom. For the volume, the calculation gives 85.4 Å³/cell. The total magnetization is 0.00 μB per atom. The total energy comes out at -5.66 eV per atom. As for the density of states at the Fermi level: 0.403 states/eV per atom. For the excess energy over the best structure of this formula in the dataset, the calculation gives 108 meV/atom. The space-group type is F-43m (216).

Quantum ESPRESSO input file:
```
&SYSTEM
  ibrav = 0, nat = 4, ntyp = 4
/
ATOMIC_SPECIES
Si 28.09 Si.upf
Tm 168.93 Tm.upf
Pd 106.42 Pd.upf
Dy 162.50 Dy.upf
ATOMIC_POSITIONS angstrom
Si 7.4137 4.2803 3.0266
Tm 4.9425 2.8535 2.0178
Pd 2.4712 1.4268 1.0089
Dy 0.0000 0.0000 0.0000
CELL_PARAMETERS angstrom
4.9425 0.0000 0.0000
2.4712 4.2803 0.0000
2.4712 1.4268 4.0355
```

(6)
The following is a DFT calculation (PBE) of a relaxed DyYSiPd crystal. Values from VASP.

Values from the calculation:
The value obtained for the uncorrected formation energy is -0.733 eV per atom. For the volume, the calculation gives 87.4 Å³/cell. The total magnetization is 0.00 μB per atom. The total energy comes out at -6.15 eV per atom. As for the density of states at the Fermi level: 0.463 states/eV per atom. For the excess energy over the best structure of this formula in the dataset, the calculation gives 113 meV/atom. The space-group type is F-43m (216).

Quantum ESPRESSO input file:
```
&SYSTEM
  ibrav = 0, nat = 4, ntyp = 4
/
ATOMIC_SPECIES
Y 88.91 Y.upf
Si 28.09 Si.upf
Pd 106.42 Pd.upf
Dy 162.50 Dy.upf
ATOMIC_POSITIONS angstrom
Y 4.9815 2.8761 2.0337
Si 7.4723 4.3141 3.0505
Pd 2.4908 1.4380 1.0168
Dy 0.0000 0.0000 0.0000
CELL_PARAMETERS angstrom
4.9815 0.0000 0.0000
2.4908 4.3141 0.0000
2.4908 1.4380 4.0674
```